(1)
Crystalline BaTeW at its relaxed geometry. Source: Alexandria, functional GGA-PBEsol.

abc: 4.586 4.586 4.862
angles: 90.00 90.00 120.00
Positions (direct):
Ba1 0.000 0.000 0.000
Te1 0.333 0.667 0.500
W1 0.667 0.333 0.500

## Properties
- Theoretical density: 8414 kg/m³
- Energy relative to the elements, uncorrected: 0.523 eV/atom
- N(E_F): 0.975 states/eV per atom
- Polymorph energy (0 for the lowest one): 0.0 meV per atom
- DFT total energy: -17.913 eV per cell

***

(2)
Crystalline BaYTe2 at its relaxed geometry. Source: Alexandria, functional GGA-PBEsol.

abc: 8.141 8.141 8.141
angles: 32.10 32.10 32.10
Positions (direct):
Ba1 0.000 0.000 0.000
Y1 0.500 0.500 0.500
Te1 0.239 0.239 0.239
Te2 0.761 0.761 0.761

## Properties
- Theoretical density: 5906 kg/m³
- Energy relative to the elements, uncorrected: -1.560 eV/atom
- N(E_F): 0.416 states/eV per atom
- Polymorph energy (0 for the lowest one): 0.0 meV per atom
- DFT total energy: -22.264 eV per cell

***

(3)
Crystalline BaY2Te2 at its relaxed geometry. Source: Alexandria, functional GGA-PBEsol.

abc: 8.293 8.293 8.293
angles: 147.90 147.90 46.03
Positions (direct):
Ba1 0.000 0.000 0.000
Y1 0.250 0.750 0.500
Y2 0.750 0.250 0.500
Te1 0.385 0.385 0.000
Te2 0.615 0.615 0.000

## Properties
- Theoretical density: 5900 kg/m³
- Energy relative to the elements, uncorrected: -1.051 eV/atom
- N(E_F): 1.072 states/eV per atom
- DFT total energy: -28.099 eV per cell

***

(4)
Crystalline BaYTe2 at its relaxed geometry. Source: Alexandria, functional GGA-PBEsol.

abc: 8.432 8.432 8.432
angles: 151.88 151.03 40.81
Positions (direct):
Ba1 0.000 0.000 0.000
Y1 0.250 0.750 0.500
Te1 0.391 0.391 0.000
Te2 0.676 0.176 0.500

## Properties
- Theoretical density: 5854 kg/m³
- Energy relative to the elements, uncorrected: -1.400 eV/atom
- N(E_F): 0.751 states/eV per atom
- Polymorph energy (0 for the lowest one): 159.9 meV per atom
- DFT total energy: -21.624 eV per cell

***

- What is the energy relative to the elements, uncorrected in the second record?
  -1.560 eV/atom